No. 1
A relaxed Ce2HoTl2Zn2 crystal. Source: Alexandria, functional PBE-GGA.

Cell lengths 4.592, 4.592, 9.582 Å; angles 76.14, 76.14, 60.00 degrees
Each line ends with the local moment (μB).
Atoms (fractional coordinates):
Ce  0.144  0.144  0.569  0.87
Ce  0.856  0.856  0.431  0.87
Ho  0.000  0.000  0.000  0.02
Tl  0.729  0.729  0.814  -0.01
Tl  0.271  0.271  0.186  -0.01
Zn  0.581  0.581  0.258  0.00
Zn  0.419  0.419  0.742  0.00

Summary:
* energy of formation: -0.1414 eV per atom
* VASP energy: -3.53 eV/atom


No. 2
A relaxed CeHo6Tm8 crystal. Source: Alexandria, functional PBE-GGA.

Cell lengths 8.901, 8.901, 8.500 Å; angles 58.43, 58.43, 60.00 degrees
Each line ends with the local moment (μB).
Atoms (fractional coordinates):
Ce  0.000  0.000  0.000  0.60
Ho  0.460  0.891  0.874  0.04
Ho  0.109  0.226  0.126  0.04
Ho  0.226  0.540  0.126  0.04
Ho  0.774  0.460  0.874  0.04
Ho  0.891  0.774  0.874  0.04
Ho  0.540  0.109  0.126  0.04
Tm  0.251  0.282  0.579  0.03
Tm  0.718  0.111  0.421  0.03
Tm  0.111  0.749  0.421  0.03
Tm  0.577  0.577  0.269  -0.04
Tm  0.423  0.423  0.731  -0.04
Tm  0.889  0.251  0.579  0.03
Tm  0.282  0.889  0.579  0.03
Tm  0.749  0.718  0.421  0.03

Summary:
* energy of formation: 0.1335 eV per atom
* polymorph energy (0 for the lowest one): 0.000 eV/atom
* VASP energy: -4.48 eV/atom


No. 3
A relaxed CeHo3Tm4 crystal. Source: Alexandria, functional PBE-GGA.

Cell lengths 3.395, 6.609, 11.718 Å; angles 106.43, 98.33, 90.00 degrees
Each line ends with the local moment (μB).
Atoms (fractional coordinates):
Tm  0.740  0.243  0.481  -0.04
Tm  0.260  0.757  0.519  -0.04
Tm  0.125  0.367  0.251  0.02
Tm  0.875  0.633  0.749  0.02
Ho  0.000  0.500  0.000  0.08
Ho  0.126  0.882  0.251  0.02
Ho  0.874  0.118  0.749  0.02
Ce  0.500  0.000  0.000  0.69

Summary:
* energy of formation: 0.1947 eV per atom
* polymorph energy (0 for the lowest one): 0.164 eV/atom
* VASP energy: -4.50 eV/atom


No. 4
A relaxed CeHoTm2 crystal. Source: Alexandria, functional PBE-GGA.

Cell lengths 3.535, 3.536, 11.288 Å; angles 90.00, 90.00, 60.00 degrees
Each line ends with the local moment (μB).
Atoms (fractional coordinates):
Ce  0.630  0.033  0.450  0.76
Ho  0.630  0.032  0.950  -0.13
Tm  0.296  0.699  0.198  0.05
Tm  0.297  0.699  0.701  0.05

Summary:
* energy of formation: 0.0542 eV per atom
* polymorph energy (0 for the lowest one): 0.001 eV/atom
* VASP energy: -4.81 eV/atom


Which formula does entry 1 have?
Ce2HoTl2Zn2


Which formula does entry 3 have?
CeHo3Tm4